Density functional theory data (PBE) for crystalline NaTiTl at its relaxed geometry.

Properties
size of the total moment: 0.00 μB/f.u.
symmetry: Imma, No. 74
calculated formation energy: 0.212 eV/atom

Unit cell a=5.930 b=5.930 c=5.930 alpha=129.49 beta=111.00 gamma=90.33
Element x y z (fractional)
Na 0.383 0.133 0.250
Na 0.617 0.867 0.750
Ti 0.000 0.000 0.500
Ti 0.000 0.500 0.000
Tl 0.000 0.500 0.500
Tl 0.500 0.500 0.000